i) VASP calculation (PBE) on crystalline LiRePt2 at its relaxed geometry.

Cell: 3.896 2.733 6.072 Å, 63.26 90.00 90.00°
Positions (direct):
Li 0.500 0.750 0.750
Pt 0.000 0.499 0.500
Pt 0.000 0.001 0.000
Re 0.500 0.250 0.250

Values from the calculation:
The calculated volume comes out at 58 Å³/cell. As for the symmetry: Pmmm (47). The calculation puts the magnetic moment at 0.0 μB per cell.

---

ii) VASP calculation (PBE) on crystalline LiRePt2 at its relaxed geometry.

Cell: 3.804 3.920 3.920 Å, 90.00 90.00 90.00°
Positions (direct):
Pt 0.000 0.500 0.500
Pt 0.000 0.000 0.000
Re 0.500 0.500 0.000
Li 0.500 0.000 0.500

Values from the calculation:
The calculated volume comes out at 58 Å³/cell. As for the symmetry: P4/mmm (123). The calculation puts the magnetic moment at 1.7 μB per cell.

---

Most stable = i)

---

i) VASP calculation (PBE) on crystalline LiRePt2 at its relaxed geometry.

Cell: 2.729 4.738 4.592 Å, 90.00 90.00 90.00°
Positions (direct):
Li 0.000 0.500 0.500
Re 0.500 0.000 0.500
Pt 0.500 0.500 0.000
Pt 0.000 0.000 0.000

Values from the calculation:
The calculated volume comes out at 59 Å³/cell. As for the symmetry: Pmmm (47). The calculation puts the magnetic moment at 0.0 μB per cell.

---

ii) VASP calculation (PBE) on crystalline LiRePt2 at its relaxed geometry.

Cell: 6.082 6.082 6.082 Å, 154.28 138.92 49.10°
Positions (direct):
Pt 0.730 0.230 0.500
Pt 0.957 0.957 0.000
Re 0.532 0.532 0.000
Li 0.281 0.781 0.500

Values from the calculation:
The calculated volume comes out at 64 Å³/cell. As for the symmetry: Imm2 (44). The calculation puts the magnetic moment at 0.0 μB per cell.

---

Most stable = ii)

---

i) VASP calculation (PBE) on crystalline LiRePt2 at its relaxed geometry.

Cell: 9.133 9.133 9.133 Å, 17.39 17.39 17.39°
Positions (direct):
Pt 0.001 0.001 0.001
Pt 0.499 0.499 0.499
Re 0.250 0.250 0.250
Li 0.750 0.750 0.750

Values from the calculation:
The calculated volume comes out at 59 Å³/cell. As for the symmetry: R-3m (166). The calculation puts the magnetic moment at 0.4 μB per cell.

---

ii) VASP calculation (PBE) on crystalline LiRePt2 at its relaxed geometry.

Cell: 2.682 5.100 5.296 Å, 54.77 90.00 90.00°
Positions (direct):
Li 0.000 0.000 0.500
Pt 0.000 0.000 0.000
Pt 0.500 0.500 0.000
Re 0.500 0.500 0.500

Values from the calculation:
The calculated volume comes out at 59 Å³/cell. As for the symmetry: P2/m (10). The calculation puts the magnetic moment at 0.0 μB per cell.

---

Most stable = i)